1.
Compound: Ho6Te5Se
Source: the Alexandria database
Functional: GGA-PBE
Structure: relaxed

Cell lengths 7.420, 8.597, 7.459 Å; angles 106.84, 99.52, 125.18 degrees
Element x y z (fractional)
1 Ho 0.846 0.073 0.697
2 Ho 0.149 0.376 0.303
3 Ho 0.540 0.781 0.000
4 Ho 0.460 0.219 0.000
5 Ho 0.154 0.927 0.303
6 Ho 0.851 0.624 0.697
7 Se 0.000 0.000 0.000
8 Te 0.322 0.822 0.644
9 Te 0.337 0.337 0.674
10 Te 0.000 0.500 0.000
11 Te 0.663 0.663 0.326
12 Te 0.678 0.178 0.356

Output
For the energy relative to the elements, uncorrected, the calculation gives -1.339 eV per atom. The volume is 28.078 A^3/atom.

***

2.
Compound: Hf4BePt
Source: the Alexandria database
Functional: GGA-PBE
Structure: relaxed

Cell lengths 6.388, 6.388, 7.199 Å; angles 116.34, 116.34, 90.00 degrees
Element x y z (fractional)
1 Be 0.750 0.750 0.500
2 Be 0.250 0.250 0.500
3 Hf 0.021 0.193 0.714
4 Hf 0.521 0.021 0.714
5 Hf 0.193 0.693 0.714
6 Hf 0.479 0.979 0.286
7 Hf 0.807 0.307 0.286
8 Hf 0.693 0.521 0.714
9 Hf 0.979 0.807 0.286
10 Hf 0.307 0.479 0.286
11 Pt 0.500 0.500 0.000
12 Pt 0.000 0.000 0.000

Output
The formation energy comes out at -0.327 eV per atom. The volume is 19.064 A^3/atom. For the energy above the most stable polymorph in this dataset, the calculation gives 96 meV per atom.

***

3.
Compound: Cu2PdBr8
Source: the Alexandria database
Functional: GGA-PBE
Structure: relaxed

Cell lengths 6.516, 7.955, 7.955 Å; angles 90.04, 103.29, 103.29 degrees
Site moments in Bohr magnetons follow the coordinates.
Element x y z (fractional)
1 Br 0.177 0.751 0.061  0.03
2 Br 0.823 0.939 0.249  0.03
3 Br 0.801 0.422 0.422  0.01
4 Br 0.327 0.211 0.211  0.01
5 Br 0.823 0.249 0.939  0.03
6 Br 0.673 0.789 0.789  0.01
7 Br 0.177 0.061 0.751  0.03
8 Br 0.199 0.578 0.578  0.01
9 Cu 0.680 0.199 0.199  0.10
10 Cu 0.320 0.801 0.801  0.10
11 Pd 0.000 0.000 0.000  0.00

Output
For the energy relative to the elements, uncorrected, the calculation gives -0.205 eV per atom. The volume is 35.442 A^3/atom. For the energy above the most stable polymorph in this dataset, the calculation gives 0 meV per atom.